## Dy4Zn3Pb (PBE)

Data for a relaxed structure of Dy4Zn3Pb.

formation energy from the elements	-0.37	eV per atom
symmetry	No. 123

Cell: 5.1187 7.3532 10.2391 Å, 90.00 90.00 90.00°
Closest atoms and distances in Å follow each position.
Positions (direct):
Dy  0.0002  0.2355  0.2500  6 Zn 3.09-3.22, 2 Pb 3.22
Dy  0.5000  0.7645  0.5000  6 Zn 3.09-3.21, 2 Pb 3.21
Dy  0.0002  0.7645  0.2500  6 Zn 3.09-3.22, 2 Pb 3.22
Dy  0.5000  0.2355  0.5000  6 Zn 3.09-3.21, 2 Pb 3.21
Dy  0.9998  0.2355  0.7500  6 Zn 3.09-3.22, 2 Pb 3.22
Dy  0.5000  0.7645  0.0000  6 Zn 3.09-3.21, 2 Pb 3.21
Dy  0.9998  0.7645  0.7500  6 Zn 3.09-3.22, 2 Pb 3.22
Dy  0.5000  0.2355  0.0000  6 Zn 3.09-3.21, 2 Pb 3.21
Zn  0.5003  0.0000  0.2500  8 Dy 3.09
Zn  0.0000  0.0000  0.5000  8 Dy 3.09
Zn  0.5006  0.5000  0.2500  8 Dy 3.21-3.22
Zn  0.4994  0.5000  0.7500  8 Dy 3.21-3.22
Zn  0.0000  0.0000  0.0000  8 Dy 3.09
Zn  0.4997  0.0000  0.7500  8 Dy 3.09
Pb  0.0000  0.5000  0.0000  8 Dy 3.21-3.22
Pb  0.0000  0.5000  0.5000  8 Dy 3.21-3.22

## MgTi2MoH (PBE)

Data for a relaxed structure of MgTi2MoH.

total DFT energy (no corrections)	-31.7	eV/f.u.
symmetry	No. 123

Cell: 4.3415 4.3415 3.7154 Å, 90.00 90.00 90.00°
Closest atoms and distances in Å follow each position.
Positions (direct):
Ti  0.5000  0.0000  0.0000  2 H 2.17
Ti  0.0000  0.5000  0.0000  2 H 2.17
Mo  0.0000  0.0000  0.5000  2 H 1.86
H  0.0000  0.0000  0.0000  2 Mo 1.86
Mg  0.5000  0.5000  0.5000  8 Ti 2.86, 4 Mo 3.07

## ScTa3Ir (PBE)

Data for a relaxed structure of ScTa3Ir.

energy above the lowest structure with this stoichiometry	0.000	eV per atom
formation energy from the elements	0.81	eV per atom
symmetry	No. 221

Cell: 4.8854 4.8854 4.8854 Å, 90.00 90.00 90.00°
Closest atoms and distances in Å follow each position.
Positions (direct):
Ta  0.0000  0.0000  0.5000  2 Ir 2.44
Ta  0.5000  0.0000  0.0000  2 Ir 2.44
Ta  0.0000  0.5000  0.0000  2 Ir 2.44
Ir  0.0000  0.0000  0.0000  6 Ta 2.44
Sc  0.5000  0.5000  0.5000  12 Ta 3.45